Entry 1:
Compound: BeC3Se
Source: the Alexandria database
Functional: PBE-GGA
Structure: optimized geometry

The structure belongs to space group Pm-3m (No. 221); the cell edges are 3.7030, 3.7030 and 3.7030 Å and the angles 90.00°, 90.00° and 90.00°. The inequivalent atoms are Be at (0.0000, 0.0000, 0.0000), C at (0.0000, 0.0000, 0.5000) and Se at (0.5000, 0.5000, 0.5000).

As for the electronic total energy: -4.402 eV/atom. As for the density of states at the Fermi level: 0.487 states/eV per atom. The calculation puts the energy relative to the elements, uncorrected at 1242.0 kJ/mol of formula units.

Entry 2:
Compound: NpGa4Ag
Source: the Alexandria database
Functional: PBE-GGA
Structure: optimized geometry

The structure belongs to space group F-43m (No. 216); the cell edges are 7.7592, 7.7592 and 7.7592 Å and the angles 90.00°, 90.00° and 90.00°. The inequivalent atoms are Np at (0.0000, 0.0000, 0.0000), Ga at (0.1254, 0.1254, 0.3746) and Ag at (0.2500, 0.2500, 0.7500).

As for the electronic total energy: -4.584 eV/atom. As for the formation energy from the elements: 66.2 meV per atom. As for the density of states at the Fermi level: 2.320 states/eV per atom.

Entry 3:
Compound: CoCu2Si
Source: the Alexandria database
Functional: PBE-GGA
Structure: optimized geometry

The structure belongs to space group R3m (No. 160, hexagonal axes); the cell edges are 2.6346, 2.6346 and 23.6176 Å and the angles 90.00°, 90.00° and 120.00°. The inequivalent atoms are Co at (0.0000, 0.0000, 0.0000), Cu at (0.0000, 0.0000, 0.2469), Cu at (0.0000, 0.0000, 0.4921) and Si at (0.0000, 0.0000, 0.7410).

As for the electronic total energy: -5.186 eV/atom. As for the density of states at the Fermi level: 0.706 states/eV per atom. The calculation puts the energy relative to the elements, uncorrected at -2.3 kJ/mol of formula units.

Entry 4:
Compound: KSrHg2
Source: the Alexandria database
Functional: PBE-GGA
Structure: optimized geometry

The structure belongs to space group Cm (No. 8); the cell edges are 12.4106, 4.0044 and 5.7238 Å and the angles 90.00°, 105.26° and 90.00°. The inequivalent atoms are K at (0.0000, 0.0000, 0.0000), Sr at (0.2080, 0.0000, 0.6281), Hg at (0.2553, 0.5000, 0.1686) and Hg at (0.4624, 0.0000, 0.4764).

As for the electronic total energy: -1.124 eV/atom. As for the formation energy from the elements: -278.3 meV per atom. As for the density of states at the Fermi level: 0.726 states/eV per atom.

Entry 5:
Compound: HfSc2SnH
Source: the Alexandria database
Functional: PBE-GGA
Structure: optimized geometry

The structure belongs to space group P4/mmm (No. 123); the cell edges are 4.4808, 4.4808 and 4.4012 Å and the angles 90.00°, 90.00° and 90.00°. The inequivalent atoms are Hf at (0.0000, 0.0000, 0.0000), Sc at (0.0000, 0.5000, 0.5000), Sn at (0.5000, 0.5000, 0.0000) and H at (0.0000, 0.0000, 0.5000).

As for the electronic total energy: -6.432 eV/atom. As for the density of states at the Fermi level: 0.775 states/eV per atom.

Entry 6:
Compound: LiBNO2
Source: the Alexandria database
Functional: PBE-GGA
Structure: optimized geometry

The structure belongs to space group P4/mmm (No. 123); the cell edges are 3.6007, 3.6007 and 2.9508 Å and the angles 90.00°, 90.00° and 90.00°. The inequivalent atoms are Li at (0.0000, 0.0000, 0.0000), B at (0.5000, 0.5000, 0.5000), N at (0.5000, 0.5000, 0.0000) and O at (0.0000, 0.5000, 0.5000).

As for the electronic total energy: -5.534 eV/atom. As for the density of states at the Fermi level: 0.348 states/eV per atom. The calculation puts the energy relative to the elements, uncorrected at -80.8 kJ/mol of formula units.